VASP calculation (PBE-GGA) on an optimized crystal structure of Na3SiSb.

Cell: 5.8621 5.8621 5.8621 Å, 90.00 90.00 90.00°
Closest atoms and distances in Å follow each position.
Fractional positions:
1 Sb 0.0000 0.0000 0.0000  6 Na 2.93
2 Na 0.5000 0.0000 0.0000  2 Sb 2.93
3 Na 0.0000 0.0000 0.5000  2 Sb 2.93
4 Si 0.5000 0.5000 0.5000  12 Na 4.15
5 Na 0.0000 0.5000 0.0000  2 Sb 2.93

Computed properties:
calculated density	1.804	Mg/m³
energy above the lowest structure with this stoichiometry	8.7	meV/atom
DOS at the Fermi energy	5.93	states/eV/f.u.
energy	-2.233	eV/atom